(1)
Computed, not measured: a relaxed structure of InSb2S4Cl at the GGA-PBE level of DFT.

Output
Calculated total energy (eV/cell): -132.3
Magnetization (μB/cell): 0.00
ΔE_f (raw) (meV per atom): -466

a = 20.466 Å, b = 3.889 Å, c = 11.932 Å
α = 90.00°, β = 119.74°, γ = 90.00°
Space group C2/m (No. 12)
Unique sites:
In 0.164 0.000 0.435 x4
Sb 0.048 0.500 0.779 x4
Sb 0.205 0.000 0.095 x4
S 0.035 0.000 0.217 x4
S 0.102 0.500 0.019 x4
S 0.181 0.000 0.867 x4
S 0.213 0.500 0.349 x4
Cl 0.105 0.500 0.519 x4

(2)
Computed, not measured: a relaxed structure of InSb2S4Cl at the GGA-PBE level of DFT.

Output
Calculated total energy (eV/cell): -65.7
Magnetization (μB/cell): 0.00
ΔE_f (raw) (meV per atom): -439

a = 12.800 Å, b = 3.828 Å, c = 9.664 Å
α = 90.00°, β = 121.08°, γ = 90.00°
Space group C2/m (No. 12)
Unique sites:
In 0.000 0.000 0.000 x2
Sb 0.197 0.000 0.758 x4
S 0.120 0.500 0.944 x4
S 0.187 0.000 0.293 x4
Cl 0.000 0.500 0.500 x2

(3)
Computed, not measured: a relaxed structure of InSbS2Cl at the GGA-PBE level of DFT.

Output
Calculated total energy (eV/cell): -16.4
Magnetization (μB/cell): 0.09
ΔE to the lowest computed polymorph (eV per atom): 0.272
ΔE_f (raw) (meV per atom): 109

a = 5.163 Å, b = 5.163 Å, c = 4.982 Å
α = 90.00°, β = 90.00°, γ = 90.00°
Space group P4/mmm (No. 123)
Unique sites:
In 0.000 0.000 0.000 x1
Sb 0.500 0.500 0.500 x1
S 0.000 0.500 0.000 x2
Cl 0.000 0.000 0.500 x1

(4)
Computed, not measured: a relaxed structure of InSbSCl2 at the GGA-PBE level of DFT.

Output
Calculated total energy (eV/cell): -17.0
Magnetization (μB/cell): 0.00
ΔE to the lowest computed polymorph (eV per atom): 0.000
ΔE_f (raw) (meV per atom): -457

a = 5.406 Å, b = 5.406 Å, c = 5.165 Å
α = 90.00°, β = 90.00°, γ = 90.00°
Space group P4/mmm (No. 123)
Unique sites:
In 0.000 0.000 0.000 x1
Sb 0.500 0.500 0.500 x1
S 0.500 0.500 0.000 x1
Cl 0.000 0.500 0.500 x2

(5)
Computed, not measured: a relaxed structure of InSbSCl2 at the GGA-PBE level of DFT.

Output
Calculated total energy (eV/cell): -15.1
Magnetization (μB/cell): 1.70
ΔE to the lowest computed polymorph (eV per atom): 0.372
ΔE_f (raw) (meV per atom): -86

a = 5.114 Å, b = 5.114 Å, c = 5.330 Å
α = 90.00°, β = 90.00°, γ = 90.00°
Space group P4/mmm (No. 123)
Unique sites:
In 0.000 0.000 0.000 x1
Sb 0.500 0.500 0.500 x1
S 0.000 0.000 0.500 x1
Cl 0.000 0.500 0.000 x2

(6)
Computed, not measured: a relaxed structure of InSbS2Cl at the GGA-PBE level of DFT.

Output
Calculated total energy (eV/cell): -17.8
Magnetization (μB/cell): 0.15
ΔE to the lowest computed polymorph (eV per atom): 0.000
ΔE_f (raw) (meV per atom): -162

a = 5.133 Å, b = 5.133 Å, c = 5.339 Å
α = 90.00°, β = 90.00°, γ = 90.00°
Space group P4/mmm (No. 123)
Unique sites:
In 0.000 0.000 0.000 x1
Sb 0.500 0.500 0.500 x1
S 0.000 0.500 0.500 x2
Cl 0.500 0.500 0.000 x1

(7)
Computed, not measured: a relaxed structure of InSiSCl2 at the GGA-PBE level of DFT.

Output
Calculated total energy (eV/cell): -15.3
Magnetization (μB/cell): 0.73
ΔE to the lowest computed polymorph (eV per atom): 0.553
ΔE_f (raw) (meV per atom): 133

a = 5.161 Å, b = 5.161 Å, c = 5.174 Å
α = 90.00°, β = 90.00°, γ = 90.00°
Space group P4/mmm (No. 123)
Unique sites:
In 0.000 0.000 0.000 x1
Si 0.500 0.500 0.500 x1
S 0.000 0.000 0.500 x1
Cl 0.000 0.500 0.000 x2

(8)
Computed, not measured: a relaxed structure of InSiS2Cl at the GGA-PBE level of DFT.

Output
Calculated total energy (eV/cell): -19.4
Magnetization (μB/cell): 0.00
ΔE to the lowest computed polymorph (eV per atom): 0.000
ΔE_f (raw) (meV per atom): -231

a = 4.628 Å, b = 4.628 Å, c = 4.856 Å
α = 90.00°, β = 90.00°, γ = 90.00°
Space group P4/mmm (No. 123)
Unique sites:
In 0.000 0.000 0.000 x1
Si 0.500 0.500 0.500 x1
S 0.000 0.500 0.500 x2
Cl 0.500 0.500 0.000 x1